An optimized crystal structure of NaSr3Tb3Te8. Source: Alexandria via LeMat-Bulk, functional PBE-GGA.

Cell: 9.0256 9.0261 9.1724 Å, 119.47 90.00 120.00°
Last column: nearest neighbours and their distance in Å.
Fractional positions:
1 Sr 0.0000 0.0000 0.0000  6 Te 3.30-3.34
2 Te 0.2519 0.5037 0.7337  2 Tb 3.10, 1 Na 3.24, 2 Sr 3.34
3 Tb 0.0000 0.5000 0.5000  6 Te 3.10-3.14
4 Na 0.0000 0.0000 0.5000  6 Te 3.24
5 Te 0.7481 0.4963 0.2663  2 Tb 3.10, 1 Na 3.24, 2 Sr 3.34
6 Te 0.2562 0.5125 0.2688  3 Tb 3.14, 3 Sr 3.30
7 Sr 0.0000 0.5000 0.0000  6 Te 3.30-3.34
8 Tb 0.5000 0.5000 0.5000  6 Te 3.10-3.14
9 Sr 0.5000 0.5000 0.0000  6 Te 3.30-3.34
10 Te 0.7299 0.9818 0.7337  2 Tb 3.10, 1 Na 3.24, 2 Sr 3.34
11 Te 0.7481 0.0182 0.2663  2 Tb 3.10, 1 Na 3.24, 2 Sr 3.34
12 Tb 0.5000 0.0000 0.5000  6 Te 3.10-3.14
13 Te 0.2701 0.0182 0.2663  2 Tb 3.10, 1 Na 3.24, 2 Sr 3.34
14 Te 0.7438 0.4875 0.7312  3 Tb 3.14, 3 Sr 3.30
15 Te 0.2519 0.9818 0.7337  2 Tb 3.10, 1 Na 3.24, 2 Sr 3.34

Calculated density in g/cm3: 5.56
E_form (uncorrected) in eV per formula unit: -21.59
Space group: R-3m, No. 166